Entry 1:
# Hg12Au3F5

A relaxed structure of Hg12Au3F5 (PBE, Alexandria via LeMat-Bulk).

```
80
Lattice="-7.8462 7.8462 7.8462 7.8462 -7.8462 7.8462 7.8462 7.8462 -7.8462" Properties=species:S:1:pos:R:3 pbc="T T T"
Hg 2.4006 -0.3671 1.1703
Hg 9.3687 5.0935 -4.2903
Hg 7.4791 -1.1703 2.4006
Hg 12.1365 -1.5225 2.7528
Hg 10.2469 0.3671 1.1703
Hg 9.3687 -2.7528 4.2903
Hg 1.1703 2.4006 -0.3671
Hg 10.5990 3.5560 -1.5225
Hg 5.0935 4.2903 -1.5225
Hg 6.6759 2.4006 0.3671
Hg -0.3671 1.1703 2.4006
Hg 4.2903 -1.5225 5.0935
Hg 7.4791 6.6759 -2.4006
Hg 4.2903 1.5225 2.7528
Hg 6.6759 -2.4006 7.4791
Hg 5.0935 -4.2903 9.3687
Hg 2.7528 4.2903 1.5225
Hg 9.0166 5.4456 0.3671
Hg 2.4006 7.4791 -1.1703
Hg 9.3687 2.7528 3.5560
Hg 4.2903 9.3687 -2.7528
Hg 7.4791 1.1703 5.4456
Hg 1.5225 2.7528 4.2903
Hg 2.4006 0.3671 6.6759
Hg 5.4456 7.4791 1.1703
Hg 6.3238 5.0935 3.5560
Hg 0.3671 6.6759 2.4006
Hg 3.5560 -1.5225 10.5990
Hg -1.5225 5.0935 4.2903
Hg 5.4456 0.3671 9.0166
Hg -1.1703 2.4006 7.4791
Hg 5.0935 3.5560 6.3238
Hg 2.7528 12.1365 -1.5225
Hg 1.1703 10.2469 0.3671
Hg 3.5560 6.3238 5.0935
Hg 0.3671 1.1703 10.2469
Hg 3.5560 9.3687 2.7528
Hg 8.2134 6.6759 5.4456
Hg 1.1703 5.4456 7.4791
Hg 2.7528 3.5560 9.3687
Hg -2.7528 4.2903 9.3687
Hg 6.6759 5.4456 8.2134
Hg -1.5225 10.5990 3.5560
Hg -2.4006 7.4791 6.6759
Hg -4.2903 9.3687 5.0935
Hg 0.3671 9.0166 5.4456
Hg -1.5225 2.7528 12.1365
Hg 5.4456 8.2134 6.6759
Au 3.9231 1.9616 0.0000
Au 7.8462 3.9231 -1.9616
Au 1.9616 0.0000 3.9231
Au 9.8078 0.0000 3.9231
Au 0.0000 3.9231 1.9616
Au 3.9231 -1.9616 7.8462
Au 3.9231 9.8078 0.0000
Au 7.8462 3.9231 5.8847
Au -1.9616 7.8462 3.9231
Au 5.8847 7.8462 3.9231
Au 0.0000 3.9231 9.8078
Au 3.9231 5.8847 7.8462
F 0.0000 0.0000 0.0000
F 3.9231 3.9231 -3.9231
F 3.9231 -3.9231 3.9231
F 7.8462 0.0000 0.0000
F 11.7694 1.9616 0.0000
F 7.8462 -3.9231 5.8847
F 5.8847 7.8462 -3.9231
F 5.8847 0.0000 3.9231
F 3.9231 5.8847 0.0000
F 7.8462 3.9231 1.9616
F -3.9231 3.9231 3.9231
F 0.0000 7.8462 0.0000
F 0.0000 0.0000 7.8462
F 3.9231 3.9231 3.9231
F 0.0000 3.9231 5.8847
F 3.9231 1.9616 7.8462
F 1.9616 7.8462 3.9231
F 1.9616 0.0000 11.7694
F 0.0000 11.7694 1.9616
F -3.9231 5.8847 7.8462
```

Computed properties:
Formation energy from raw total energies in eV per formula unit: -9.244
Total energy in eV per atom: -1.6027
Crystal system: cubic
M_tot in Bohr magnetons per cell: 0.0

***

Entry 2:
# OsPtPb2

A relaxed structure of OsPtPb2 (PBE, Alexandria via LeMat-Bulk).

```
8
Lattice="6.4053 0.0000 0.0000 0.0000 7.4342 0.0000 -0.0311 0.0000 3.3569" Properties=species:S:1:pos:R:3 pbc="T T T"
Os 0.0000 0.0000 0.0000
Os 3.2026 3.7171 0.0000
Pt 0.0000 3.7171 0.0000
Pt 3.2026 0.0000 0.0000
Pb 1.5858 1.8586 1.6784
Pb 1.5858 5.5757 1.6784
Pb 4.7884 1.8586 1.6784
Pb 4.7884 5.5757 1.6784
```

Computed properties:
Calculated formation energy in kJ/mol of atoms: 61.99
Total energy in eV per atom: -5.5293
E above lowest polymorph in eV per atom: 0.250
Crystal system: monoclinic
M_tot in Bohr magnetons per cell: 0.0

***

Entry 3:
# ZrTcSb2

A relaxed structure of ZrTcSb2 (PBE, Alexandria via LeMat-Bulk).

```
12
Lattice="3.3996 0.0000 0.0000 -1.6998 2.9441 0.0000 0.0000 0.0000 26.8586" Properties=species:S:1:pos:R:3 pbc="T T T"
Zr 0.0000 0.0000 0.0000
Zr 0.0000 1.9628 17.9057
Zr 1.6998 0.9814 8.9528
Tc 0.0000 0.0000 19.8842
Tc 0.0000 1.9628 10.9313
Tc 1.6998 0.9814 1.9785
Sb 0.0000 0.0000 6.6291
Sb 0.0000 0.0000 12.7990
Sb 0.0000 1.9628 3.8461
Sb 0.0000 1.9628 24.5348
Sb 1.6998 0.9814 15.5820
Sb 1.6998 0.9814 21.7519
```

Computed properties:
Formation energy from raw total energies in eV per formula unit: -0.122
Total energy in eV per atom: -6.8203
E above lowest polymorph in eV per atom: 0.207
Crystal system: trigonal
M_tot in Bohr magnetons per cell: 0.0

***

Entry 4:
# HoPu2Mg

A relaxed structure of HoPu2Mg (PBE, Alexandria via LeMat-Bulk).

```
4
Lattice="4.5423 0.0000 0.0000 0.0000 4.5423 0.0000 0.0000 0.0000 5.2164" Properties=species:S:1:pos:R:3 pbc="T T T"
Ho 0.0000 0.0000 0.0000
Pu 0.0000 2.2712 2.6082
Pu 2.2712 0.0000 2.6082
Mg 2.2712 2.2712 0.0000
```

Computed properties:
Calculated formation energy in kJ/mol of atoms: 15.60
Total energy in eV per atom: -8.5473
E above lowest polymorph in eV per atom: 0.000
Crystal system: tetragonal
M_tot in Bohr magnetons per cell: 12.6

***

Entry 5:
# SiPPb2

A relaxed structure of SiPPb2 (PBE, Alexandria via LeMat-Bulk).

```
12
Lattice="3.5448 0.0000 0.0000 -1.7724 3.0699 0.0000 0.0000 0.0000 27.1953" Properties=species:S:1:pos:R:3 pbc="T T T"
Si 0.0000 0.0000 0.0000
Si 0.0000 2.0466 18.1302
Si 1.7724 1.0233 9.0651
P 0.0000 0.0000 7.9786
P 0.0000 2.0466 26.1088
P 1.7724 1.0233 17.0437
Pb 0.0000 0.0000 14.4266
Pb 0.0000 0.0000 20.5423
Pb 0.0000 2.0466 5.3615
Pb 0.0000 2.0466 11.4772
Pb 1.7724 1.0233 2.4121
Pb 1.7724 1.0233 23.4917
```

Computed properties:
Formation energy from raw total energies in eV per formula unit: 0.252
Total energy in eV per atom: -4.4995
E above lowest polymorph in eV per atom: 0.000
Crystal system: trigonal
M_tot in Bohr magnetons per cell: 0.0

***

Entry 6:
# SnBrN2F

A relaxed structure of SnBrN2F (PBE, Alexandria via LeMat-Bulk).

```
5
Lattice="4.0900 0.0000 0.0000 0.0000 4.0900 0.0000 0.0000 0.0000 4.4323" Properties=species:S:1:pos:R:3 pbc="T T T"
Sn 0.0000 0.0000 0.0000
Br 2.0450 2.0450 2.2162
N 0.0000 2.0450 2.2162
N 2.0450 0.0000 2.2162
F 2.0450 2.0450 0.0000
```

Computed properties:
Formation energy from raw total energies in eV per formula unit: 6.158
Total energy in eV per atom: -3.6080
E above lowest polymorph in eV per atom: 0.523
Crystal system: tetragonal
M_tot in Bohr magnetons per cell: 0.0

***

Entry 7:
# KDyFeCl6

A relaxed structure of KDyFeCl6 (PBE, Alexandria via LeMat-Bulk).

```
9
Lattice="3.3485 -5.8036 0.0000 3.3485 5.8036 0.0000 -0.0142 0.0000 6.9929" Properties=species:S:1:pos:R:3 pbc="T T T"
K 0.0000 0.0000 0.0000
Dy 3.3414 -1.9286 3.4965
Fe 3.3414 1.9368 3.4965
Cl 1.3157 2.0950 4.9558
Cl 2.1855 3.6015 2.0281
Cl 4.4974 3.6015 4.9648
Cl 2.4934 0.0974 2.0153
Cl 4.1895 0.0974 4.9776
Cl 5.3672 2.0950 2.0371
```

Computed properties:
Formation energy from raw total energies in eV per formula unit: -15.236
Total energy in eV per atom: -4.4976
Crystal system: monoclinic
M_tot in Bohr magnetons per cell: 4.0

***

Entry 8:
# La2AgBr

A relaxed structure of La2AgBr (PBE, Alexandria via LeMat-Bulk).

```
16
Lattice="7.6144 0.0000 0.0000 0.0000 7.6144 0.0000 0.0000 0.0000 7.6144" Properties=species:S:1:pos:R:3 pbc="T T T"
La 0.0000 0.0000 0.0000
La 0.0000 3.8072 3.8072
La 1.9036 1.9036 1.9036
La 1.9036 5.7108 5.7108
La 3.8072 0.0000 3.8072
La 3.8072 3.8072 0.0000
La 5.7108 1.9036 5.7108
La 5.7108 5.7108 1.9036
Ag 0.0000 0.0000 3.8072
Ag 0.0000 3.8072 0.0000
Ag 3.8072 0.0000 0.0000
Ag 3.8072 3.8072 3.8072
Br 1.9036 1.9036 5.7108
Br 1.9036 5.7108 1.9036
Br 5.7108 1.9036 1.9036
Br 5.7108 5.7108 5.7108
```

Computed properties:
Formation energy from raw total energies in eV per formula unit: -0.151
Total energy in eV per atom: -3.6325
E above lowest polymorph in eV per atom: 0.721
Crystal system: cubic
M_tot in Bohr magnetons per cell: 0.1

***

Entry 9:
# NiAs2Se

A relaxed structure of NiAs2Se (PBE, Alexandria via LeMat-Bulk).

```
16
Lattice="6.4908 0.0000 0.0000 0.0000 6.4908 0.0000 0.0000 0.0000 6.4908" Properties=species:S:1:pos:R:3 pbc="T T T"
Ni 0.0000 0.0000 0.0000
Ni 0.0000 3.2454 3.2454
Ni 3.2454 0.0000 3.2454
Ni 3.2454 3.2454 0.0000
As 0.0000 0.0000 3.2454
As 0.0000 3.2454 0.0000
As 1.6227 1.6227 1.6227
As 1.6227 4.8681 4.8681
As 3.2454 0.0000 0.0000
As 3.2454 3.2454 3.2454
As 4.8681 1.6227 4.8681
As 4.8681 4.8681 1.6227
Se 1.6227 1.6227 4.8681
Se 1.6227 4.8681 1.6227
Se 4.8681 1.6227 1.6227
Se 4.8681 4.8681 4.8681
```

Computed properties:
Formation energy from raw total energies in eV per formula unit: 1.710
Total energy in eV per atom: -4.2137
Crystal system: cubic
M_tot in Bohr magnetons per cell: 0.0

***

Entry 10:
# LaY3Hg4

A relaxed structure of LaY3Hg4 (PBE, Alexandria via LeMat-Bulk).

```
8
Lattice="5.2996 0.0000 0.0000 0.0000 5.2996 0.0000 0.0000 0.0000 7.6719" Properties=species:S:1:pos:R:3 pbc="T T T"
La 0.0000 0.0000 0.0000
Y 0.0000 0.0000 3.8359
Y 2.6498 2.6498 0.0000
Y 2.6498 2.6498 3.8359
Hg 0.0000 2.6498 2.0242
Hg 0.0000 2.6498 5.6477
Hg 2.6498 0.0000 2.0242
Hg 2.6498 0.0000 5.6477
```

Computed properties:
Calculated formation energy in kJ/mol of atoms: -47.69
Total energy in eV per atom: -3.6852
Crystal system: tetragonal
M_tot in Bohr magnetons per cell: 0.7

***

Entry 11:
# SrZnSi2Pt

A relaxed structure of SrZnSi2Pt (PBE, Alexandria via LeMat-Bulk).

```
10
Lattice="4.2329 0.0000 0.0000 0.0000 4.2329 0.0000 0.0000 0.0000 10.3989" Properties=species:S:1:pos:R:3 pbc="T T T"
Sr 0.0000 0.0000 0.0000
Sr 2.1164 2.1164 5.1995
Zn 0.0000 2.1164 2.5997
Zn 2.1164 0.0000 7.7992
Si 0.0000 0.0000 3.9764
Si 0.0000 0.0000 6.4225
Si 2.1164 2.1164 1.2231
Si 2.1164 2.1164 9.1758
Pt 0.0000 2.1164 7.7992
Pt 2.1164 0.0000 2.5997
```

Computed properties:
Formation energy from raw total energies in eV per formula unit: -3.022
Total energy in eV per atom: -4.5729
Crystal system: tetragonal
M_tot in Bohr magnetons per cell: 0.0

***

Entry 12:
# Sr2Pt2Rh

A relaxed structure of Sr2Pt2Rh (PBE, Alexandria via LeMat-Bulk).

```
10
Lattice="7.0584 0.0000 0.0000 0.0000 7.0584 0.0000 0.0000 0.0000 4.6353" Properties=species:S:1:pos:R:3 pbc="T T T"
Sr 1.2623 2.2669 0.0000
Sr 2.2669 5.7961 0.0000
Sr 4.7915 1.2623 0.0000
Sr 5.7961 4.7915 0.0000
Pt 0.9345 4.4637 2.3177
Pt 2.5947 0.9345 2.3177
Pt 4.4637 6.1239 2.3177
Pt 6.1239 2.5947 2.3177
Rh 0.0000 0.0000 2.3177
Rh 3.5292 3.5292 2.3177
```

Computed properties:
Calculated formation energy in kJ/mol of atoms: -47.16
Total energy in eV per atom: -5.0481
E above lowest polymorph in eV per atom: 0.183
Crystal system: tetragonal
M_tot in Bohr magnetons per cell: 0.0

***

Which of these has the highest total energy? Hg12Au3F5